Density functional theory data (PBE-GGA) for AlPb after structural relaxation.

Structure (extended XYZ):
```
4
Lattice="-2.8788 2.9409 0.4290 -2.9029 -2.5206 -2.2006 -5.7388 -5.8685 1.7202" Properties=species:S:1:pos:R:3 pbc="T T T"
Pb -6.8928 -2.6104 1.5717
Pb -4.6276 -2.8378 -1.6232
Al -4.8381 -0.4273 0.3936
Al -6.6823 -5.0209 -0.4450
```

- Volume: 25.65 A^3/atom
- Space-group type: P2_1/m (11)
- Electronic total energy: -3.5198 eV/atom